Crystalline KMnAsO4 at its relaxed geometry, computed with GGA+U.

Values from the calculation:
- Total energy: -88.3 eV/cell
- Theoretical density: 3.41 Mg/m³
- Symmetry: P2_1/m (11)
- Total magnetic moment: 10.00 μB per cell

a = 5.6058 Å, b = 5.8568 Å, c = 7.2313 Å
α = 90.00°, β = 107.22°, γ = 90.00°
With the nearest neighbours (Å) after each atom.
Fractional positions:
K1 0.2052 0.2500 0.4400  2 O 2.60-2.65
K2 0.7948 0.7500 0.5600  2 O 2.60-2.65
Mn1 0.3094 0.2500 0.9696  6 O 2.20-2.44
Mn2 0.6906 0.7500 0.0304  6 O 2.20-2.44
As1 0.2373 0.7500 0.1552  4 O 1.71-1.75
As2 0.7627 0.2500 0.8448  4 O 1.71-1.75
O1 0.0249 0.7500 0.9298  1 As 1.71
O2 0.0606 0.7500 0.3122  1 As 1.71
O3 0.4496 0.5249 0.1829  1 As 1.75
O4 0.4496 0.9751 0.1829  1 As 1.75
O5 0.5504 0.0249 0.8171  1 As 1.75
O6 0.5504 0.4751 0.8171  1 As 1.75
O7 0.9394 0.2500 0.6878  1 As 1.71
O8 0.9751 0.2500 0.0702  1 As 1.71